# 1
DFT (PBE) results for a relaxed CuRuRh2 crystal.

abc: 2.713 2.713 7.451
angles: 90.00 90.00 90.00
Atoms (fractional coordinates):
Rh 0.000 0.000 0.994
Rh 0.500 0.500 0.255
Ru 0.000 0.000 0.502
Cu 0.500 0.500 0.749

Summary:
* energy above the lowest structure with this stoichiometry: 0.099 eV per atom
* total moment: 0.00 μB/f.u.

***

# 2
DFT (PBE) results for a relaxed ZnInPt14 crystal.

abc: 5.591 5.591 9.310
angles: 90.00 90.00 119.46
Atoms (fractional coordinates):
Pt 0.207 0.294 0.000
Pt 0.872 0.623 0.254
Pt 0.706 0.793 0.000
Pt 0.377 0.128 0.746
Pt 0.872 0.623 0.746
Pt 0.375 0.625 0.746
Pt 0.706 0.294 0.000
Pt 0.874 0.126 0.750
Pt 0.207 0.793 0.000
Pt 0.375 0.625 0.254
Pt 0.377 0.128 0.254
Pt 0.044 0.455 0.500
Pt 0.874 0.126 0.250
Pt 0.545 0.956 0.500
In 0.044 0.956 0.500
Zn 0.545 0.455 0.500

Summary:
* raw total energy: -90.7 eV/cell
* total moment: 0.00 μB/f.u.

***

# 3
DFT (PBE) results for a relaxed MgHgBi2 crystal.

abc: 3.490 3.490 9.308
angles: 90.00 90.00 90.00
Atoms (fractional coordinates):
Bi 0.000 0.000 0.221
Bi 0.000 0.000 0.779
Hg 0.500 0.500 0.500
Mg 0.500 0.500 0.000

Summary:
* energy above the lowest structure with this stoichiometry: 0.000 eV per atom
* total moment: 0.00 μB/f.u.

***

# 4
DFT (PBE) results for a relaxed MnHg2P crystal.

abc: 3.240 3.244 8.430
angles: 90.00 90.00 90.00
Each line ends with the local moment (μB).
Atoms (fractional coordinates):
Mn 0.000 0.000 0.663  3.38
Hg 0.000 0.000 0.987  0.03
Hg 0.500 0.500 0.264  0.02
P 0.500 0.500 0.586  -0.10

Summary:
* raw total energy: -14.9 eV/cell
* total moment: 3.56 μB/f.u.

***

# 5
DFT (PBE) results for a relaxed LaMgTa2 crystal.

abc: 2.923 2.923 10.109
angles: 90.00 90.00 90.00
Atoms (fractional coordinates):
La 0.500 0.500 0.250
Ta 0.000 0.000 0.519
Ta 0.000 0.000 0.981
Mg 0.500 0.500 0.750

Summary:
* raw total energy: -28.2 eV/cell
* total moment: 0.00 μB/f.u.

***

# 6
DFT (PBE) results for a relaxed NpHgF6 crystal.

abc: 5.473 5.473 5.531
angles: 96.11 96.11 96.79
Each line ends with the local moment (μB).
Atoms (fractional coordinates):
Np 0.500 0.500 0.500  1.58
F 0.243 0.593 0.244  -0.04
F 0.761 0.761 0.409  -0.04
F 0.407 0.757 0.756  -0.04
F 0.239 0.239 0.591  -0.04
F 0.757 0.407 0.756  -0.04
F 0.593 0.243 0.244  -0.04
Hg 0.000 0.000 0.000  -0.14

Summary:
* formation energy without anion corrections: -2.6840 eV/atom
* total moment: 1.14 μB/f.u.

***

# 7
DFT (PBE) results for a relaxed Ca6Al43W4 crystal.

abc: 11.096 11.096 17.759
angles: 90.00 90.00 120.00
Atoms (fractional coordinates):
Al 0.000 0.252 0.468
Al 0.507 0.754 0.000
Al 0.156 0.763 0.835
Al 0.607 0.844 0.835
Al 0.000 0.852 0.750
Al 0.667 0.333 0.375
Al 0.159 0.000 0.885
Al 0.841 0.841 0.885
Al 0.754 0.246 0.000
Al 0.333 0.667 0.125
Al 0.156 0.393 0.335
Al 0.246 0.493 0.500
Al 0.763 0.607 0.335
Al 0.841 0.000 0.385
Al 0.450 0.599 0.750
Al 0.851 0.450 0.250
Al 0.156 0.393 0.165
Al 0.852 0.852 0.250
Al 0.246 0.754 0.000
Al 0.000 0.841 0.385
Al 0.550 0.401 0.250
Al 0.393 0.156 0.165
Al 0.237 0.844 0.335
Al 0.159 0.159 0.115
Al 0.237 0.393 0.665
Al 0.401 0.851 0.750
Al 0.401 0.550 0.250
Al 0.844 0.607 0.835
Al 0.000 0.252 0.032
Al 0.841 0.841 0.615
Al 0.393 0.237 0.835
Al 0.252 0.252 0.968
Al 0.844 0.607 0.665
Al 0.148 0.148 0.750
Al 0.252 0.000 0.468
Al 0.852 0.000 0.750
Al 0.246 0.754 0.500
Al 0.252 0.252 0.532
Al 0.844 0.237 0.165
Al 0.159 0.000 0.615
Al 0.667 0.333 0.625
Al 0.748 0.000 0.532
Al 0.493 0.246 0.000
Al 0.000 0.748 0.968
Al 0.149 0.550 0.750
Al 0.333 0.667 0.625
Al 0.841 0.000 0.115
Al 0.148 0.000 0.250
Al 0.507 0.754 0.500
Al 0.763 0.156 0.835
Al 0.393 0.156 0.335
Al 0.748 0.748 0.032
Al 0.667 0.333 0.875
Al 0.607 0.763 0.335
Al 0.599 0.450 0.750
Al 0.156 0.763 0.665
Al 0.252 0.000 0.032
Al 0.599 0.149 0.250
Al 0.667 0.333 0.125
Al 0.763 0.607 0.165
Al 0.550 0.149 0.750
Al 0.000 0.159 0.615
Al 0.754 0.507 0.000
Al 0.159 0.159 0.385
Al 0.851 0.401 0.750
Al 0.754 0.507 0.500
Al 0.607 0.763 0.165
Al 0.000 0.841 0.115
Al 0.237 0.844 0.165
Al 0.246 0.493 0.000
Al 0.450 0.851 0.250
Al 0.763 0.156 0.665
Al 0.754 0.246 0.500
Al 0.748 0.000 0.968
Al 0.493 0.246 0.500
Al 0.149 0.599 0.250
Al 0.000 0.159 0.885
Al 0.000 0.748 0.532
Al 0.333 0.667 0.875
Al 0.333 0.667 0.375
Al 0.607 0.844 0.665
Al 0.844 0.237 0.335
Al 0.237 0.393 0.835
Al 0.000 0.148 0.250
Al 0.748 0.748 0.468
Al 0.393 0.237 0.665
Ca 0.000 0.533 0.405
Ca 0.000 0.467 0.595
Ca 0.467 0.000 0.905
Ca 0.000 0.533 0.095
Ca 0.533 0.000 0.405
Ca 0.467 0.000 0.595
Ca 0.533 0.000 0.095
Ca 0.533 0.533 0.905
Ca 0.000 0.467 0.905
Ca 0.467 0.467 0.095
Ca 0.467 0.467 0.405
Ca 0.533 0.533 0.595
W 0.270 0.000 0.750
W 0.270 0.270 0.250
W 0.730 0.730 0.750
W 0.000 0.000 0.000
W 0.000 0.730 0.250
W 0.730 0.000 0.250
W 0.000 0.000 0.500
W 0.000 0.270 0.750

Summary:
* raw total energy: -471.3 eV/cell
* total moment: 0.00 μB/f.u.

***

# 8
DFT (PBE) results for a relaxed La2CuIr crystal.

abc: 8.072 5.072 3.677
angles: 90.17 62.66 128.99
Atoms (fractional coordinates):
La 0.500 0.000 0.500
La 0.000 0.000 0.000
Ir 0.500 0.500 0.000
Cu 0.000 0.500 0.500

Summary:
* raw total energy: -24.5 eV/cell
* total moment: 0.00 μB/f.u.

***

# 9
DFT (PBE) results for a relaxed AcThCdSn crystal.

abc: 5.611 5.611 5.611
angles: 60.00 60.00 60.00
Atoms (fractional coordinates):
Ac 0.000 0.000 0.000
Sn 0.250 0.250 0.250
Cd 0.750 0.750 0.750
Th 0.500 0.500 0.500

Summary:
* raw total energy: -17.7 eV/cell
* total moment: 0.00 μB/f.u.

***

# 10
DFT (PBE) results for a relaxed Zr2AlP crystal.

abc: 3.831 3.843 6.635
angles: 54.68 90.00 90.00
Atoms (fractional coordinates):
P 0.500 0.625 0.875
Zr 0.500 0.125 0.375
Zr 0.000 0.125 0.875
Al 0.000 0.625 0.375

Summary:
* energy above the lowest structure with this stoichiometry: 0.154 eV per atom
* total moment: 0.00 μB/f.u.

***

# 11
DFT (PBE) results for a relaxed Fe2PW crystal.

abc: 4.400 4.400 2.863
angles: 90.00 90.00 112.06
Each line ends with the local moment (μB).
Atoms (fractional coordinates):
P 0.500 0.000 0.500  -0.02
W 0.000 0.500 0.500  -0.12
Fe 0.500 0.500 0.000  1.82
Fe 0.000 0.000 0.000  1.82

Summary:
* raw total energy: -34.8 eV/cell
* total moment: 3.47 μB/f.u.

***

# 12
DFT (PBE) results for a relaxed Pm2GeAs3Rh4 crystal.

abc: 4.244 4.244 10.155
angles: 90.00 90.00 90.00
Atoms (fractional coordinates):
Rh 0.000 0.500 0.375
Rh 0.500 0.000 0.625
Rh 0.000 0.000 0.000
Rh 0.500 0.500 0.000
As 0.500 0.000 0.864
As 0.000 0.500 0.136
As 0.000 0.000 0.500
Pm 0.000 0.500 0.747
Pm 0.500 0.000 0.253
Ge 0.500 0.500 0.500

Summary:
* raw total energy: -66.6 eV/cell
* total moment: 0.00 μB/f.u.

***

Look up the total moment of the eleventh one. 3.47 μB/f.u.

***

Number 1 is which compound? CuRuRh2